{
  "formula": "AcZnBi2",
  "functional": "PBE",
  "state": "relaxed",
  "lattice": [[4.896, 0.000, 0.000], [0.000, 4.896, 0.000], [0.000, 0.000, 10.121]],
  "species": ["Ac", "Ac", "Bi", "Bi", "Bi", "Bi", "Zn", "Zn"],
  "fractional_positions": [[0.500, 0.000, 0.755], [0.000, 0.500, 0.245], [0.000, 0.500, 0.835], [0.500, 0.000, 0.165], [0.000, 0.000, 0.500], [0.500, 0.500, 0.500], [0.500, 0.500, 0.000], [0.000, 0.000, 0.000]],
  "dft_energy_ev_per_atom": -3.772,
  "crystal_system": "tetragonal",
  "magnetic_moment_mub_per_atom": 0.000,
  "e_form_ev_per_atom": -0.485,
  "sg": "P4/nmm, No. 129"
}